The following is a DFT calculation (PBE-GGA) of a geometry-optimized Li2ScSe structure.

Structure (POSCAR):
```
Li2ScSe
1.0
-2.557 4.555 -0.490
-4.598 -0.313 -2.507
2.268 -2.591 3.957
Li Sc Se
2 1 1
Cartesian
0.000 0.000 0.000
-2.953 -0.391 -0.024
-3.577 2.121 -1.498
-1.933 2.042 0.985
```

- energy (eV/atom) = -3.90

The following is a DFT calculation (PBE-GGA) of a geometry-optimized LiSc2Se structure.

Structure (POSCAR):
```
LiSc2Se
1.0
-0.729 -2.528 -4.095
-3.305 -3.572 -0.099
-4.129 0.574 -2.512
Li Sc Se
1 2 1
Cartesian
-4.082 -2.763 -3.353
0.000 0.000 0.000
-2.041 -1.381 -1.676
-6.123 -4.144 -5.029
```

- energy (eV/atom) = -4.54

The following is a DFT calculation (PBE-GGA) of a geometry-optimized Li2ScSe structure.

Structure (POSCAR):
```
Li2ScSe
1.0
-6.319 -0.544 0.605
-4.757 -4.101 1.069
-4.695 -1.537 4.024
Li Sc Se
2 1 1
Cartesian
-0.535 -0.210 0.193
-7.350 -2.881 2.656
-3.943 -1.545 1.424
-11.828 -4.636 4.273
```

- energy (eV/atom) = -3.82

The following is a DFT calculation (PBE-GGA) of a geometry-optimized Li2ScSe structure.

Structure (POSCAR):
```
Li2ScSe
1.0
-3.069 0.733 2.271
-3.302 -1.996 -0.475
-0.219 -4.463 4.453
Li Sc Se
2 1 1
Cartesian
-6.305 -1.402 1.929
-4.805 -4.590 4.969
-3.375 -2.696 2.966
-1.772 -1.162 1.305
```

- energy (eV/atom) = -4.02

The following is a DFT calculation (PBE-GGA) of a geometry-optimized Li2ScSe2 structure.

Structure (POSCAR):
```
Li2ScSe2
1.0
-2.171 -2.845 -1.660
3.602 0.801 -1.398
3.281 -3.567 6.466
Li Sc Se
2 1 2
Cartesian
2.038 -3.503 3.295
2.674 -2.108 0.113
0.000 0.000 0.000
0.390 -2.713 -0.551
4.321 -2.898 3.959
```

- offset from the most stable computed form (eV/f.u.) = 0.00
- energy (eV/atom) = -4.67

The following is a DFT calculation (PBE-GGA) of a geometry-optimized LiSm3Sc3Se8 structure.

Structure (POSCAR):
```
LiSm3Sc3Se8
1.0
7.962 0.000 0.000
-3.981 6.895 -0.024
0.000 -4.573 6.588
Li Sm Sc Se
1 3 3 8
Cartesian
0.000 -2.287 3.294
0.000 0.000 0.000
-1.990 3.447 -0.012
1.990 3.447 -0.012
3.981 -2.287 3.294
1.990 1.161 3.282
-1.990 1.161 3.282
0.000 2.304 1.781
3.981 0.017 4.783
3.981 2.253 1.748
0.000 0.069 4.816
5.926 -1.116 1.759
-1.945 3.438 4.805
2.036 -1.117 1.759
1.945 3.438 4.805
```

- energy (eV/atom) = -5.91

The following is a DFT calculation (PBE-GGA) of a geometry-optimized Li3SmSc4Se8 structure.

Structure (POSCAR):
```
Li3SmSc4Se8
1.0
7.797 0.000 0.000
0.000 7.931 0.090
-3.898 -3.895 5.515
Li Sm Sc Se
3 1 4 8
Cartesian
3.898 3.965 0.045
1.949 2.018 2.803
-1.949 2.018 2.803
0.000 3.965 0.045
3.898 0.000 0.000
1.949 -1.948 2.758
0.000 0.000 0.000
-1.949 -1.948 2.758
2.001 6.016 0.079
0.000 4.016 2.910
0.000 -0.018 2.743
5.796 6.016 0.079
-1.898 -1.981 5.526
3.898 4.053 2.863
3.898 0.019 2.696
1.898 -1.981 5.526
```

- energy (eV/atom) = -5.61

The following is a DFT calculation (PBE-GGA) of a geometry-optimized LiSmScSe3 structure.

Structure (POSCAR):
```
LiSmScSe3
1.0
-3.013 -2.160 1.305
5.144 -4.625 4.221
-2.186 6.383 5.517
Li Sm Sc Se
2 2 2 6
Cartesian
-1.575 2.803 3.961
1.520 -3.204 7.081
-0.254 0.042 2.441
0.199 -0.444 8.602
2.324 -2.617 3.992
-2.379 2.216 7.050
2.098 -4.980 5.476
-2.153 4.578 5.566
2.107 -0.933 6.279
-2.162 0.531 4.763
-0.370 -2.572 3.765
0.315 2.170 7.277
```

- energy (eV/atom) = -5.50

The following is a DFT calculation (PBE-GGA) of a geometry-optimized Li2SmSc3Se6 structure.

Structure (POSCAR):
```
Li2SmSc3Se6
1.0
-3.538 -0.150 -5.764
-1.614 -4.178 5.070
-2.377 5.949 2.634
Li Sm Sc Se
2 1 3 6
Cartesian
-2.252 -2.843 1.479
-2.900 -1.485 -2.173
0.000 0.000 0.000
-3.119 -0.541 4.607
-4.410 2.163 -2.667
-3.764 0.811 0.970
-5.912 1.888 -0.426
-4.439 -1.672 0.166
-1.617 -0.266 2.366
-5.251 0.503 3.298
-3.090 3.294 1.773
-2.278 1.119 -1.358
```

- energy (eV/atom) = -5.68

The following is a DFT calculation (PBE-GGA) of a geometry-optimized LiSm3Sc2Se6 structure.

Structure (POSCAR):
```
LiSm3Sc2Se6
1.0
-6.037 2.519 -2.378
0.822 -1.241 6.799
3.978 5.728 -0.626
Li Sm Sc Se
1 3 2 6
Cartesian
0.000 0.000 0.000
1.680 2.243 4.973
-2.917 4.763 -1.178
-0.618 3.503 1.897
-1.475 0.018 3.726
-3.740 1.260 0.696
-2.022 6.020 1.350
-2.995 2.230 3.152
0.785 0.985 2.445
0.253 4.773 4.394
1.758 4.775 0.643
-1.490 2.233 -0.599
```

- energy (eV/atom) = -5.84

Calculated DOS(E_F) in order - 0.641 1.576 0.849 0.868 0.555 0.285 0.294 0.509 0.290 0.474 states/eV per atom
Calculated E_form (uncorrected) in order - -1.94 -0.09 -1.65 -2.45 -6.23 -25.67 -26.15 -9.60 -19.74 -20.50 eV/f.u.
Calculated mass density in order - 3.2 3.6 2.9 3.0 3.4 5.6 4.7 5.4 4.9 6.1 g cm⁻³